[1]
This record from Alexandria describes crystalline PmAg3Hg at its relaxed geometry. The functional is PBE.

Computed properties:
Mass density, g cm⁻³: 9.67
Total moment, μB per atom: 0.0000
Formation energy from the elements, eV/atom: -0.076
Calculated volume, Å³/cell: 229.9
Crystal system: orthorhombic

Cell: 3.4277 4.6775 14.5299 Å, 99.26 90.00 90.00°
Element x y z (fractional)
Ag: 0.0000 0.7251 0.4502
Pm: 0.5000 0.1762 0.3524
Ag: 0.5000 0.5464 0.0928
Ag: 0.0000 0.9421 0.8843
Ag: 0.0000 0.2749 0.5498
Pm: 0.5000 0.8238 0.6476
Hg: 0.0000 0.3754 0.7507
Hg: 0.0000 0.6246 0.2493
Ag: 0.5000 0.4536 0.9072
Ag: 0.0000 0.0579 0.1157

[2]
This record from Alexandria describes crystalline Ac2Y3Te6 at its relaxed geometry. The functional is PBE.

Computed properties:
Mass density, g cm⁻³: 6.36
Total moment, μB per atom: 0.0000
Calculated volume, Å³/cell: 388.2
Crystal system: monoclinic
Formation energy without anion corrections, eV per atom: -1.46

Cell: 7.7329 7.7095 7.9600 Å, 80.61 71.02 59.90°
Element x y z (fractional)
Ac: 0.8351 0.3298 0.5000
Te: 0.9102 0.6780 0.2339
Te: 0.2677 0.0000 0.2318
Te: 0.7323 0.0000 0.7682
Y: 0.0000 0.0000 0.0000
Te: 0.0898 0.3220 0.7661
Te: 0.4119 0.6780 0.7661
Te: 0.5881 0.3220 0.2339
Y: 0.6701 0.6599 0.0000
Y: 0.3299 0.3401 0.0000
Ac: 0.1649 0.6702 0.5000

[3]
This record from Alexandria describes crystalline LiPa2AgN4 at its relaxed geometry. The functional is PBE.

Computed properties:
Mass density, g cm⁻³: 9.69
Total moment, μB per atom: 0.0000
Calculated volume, Å³/cell: 108.5
Crystal system: orthorhombic
Formation energy without anion corrections, eV per atom: -0.91

Cell: 4.9981 4.9981 5.5985 Å, 116.51 116.51 90.00°
Element x y z (fractional)
N: 0.6761 0.6761 0.4780
Pa: 0.6875 0.1875 0.5000
N: 0.4377 0.9423 0.0000
N: 0.1981 0.1981 0.5220
Ag: 0.9373 0.9373 0.0000
Li: 0.4309 0.4309 0.0000
N: 0.9423 0.4377 0.0000
Pa: 0.1875 0.6875 0.5000

[4]
This record from Alexandria describes crystalline FeTeRu at its relaxed geometry. The functional is PBE.

Computed properties:
Mass density, g cm⁻³: 8.92
Total moment, μB per atom: 1.2378
Calculated volume, Å³/cell: 53.0
Crystal system: trigonal
Formation energy without anion corrections, eV per atom: 0.50

Cell: 3.2208 3.2208 5.8965 Å, 90.00 90.00 120.00°
Last column: magnetic moment on the atom in μB.
Element x y z (fractional)
Fe: 0.0000 0.0000 0.0275  2.89
Te: 0.6667 0.3333 0.6604  -0.02
Ru: 0.3333 0.6667 0.3121  0.81

[5]
This record from Alexandria describes crystalline CaTa2Pb at its relaxed geometry. The functional is PBE.

Computed properties:
Mass density, g cm⁻³: 11.07
Total moment, μB per atom: 0.0000
Formation energy from the elements, eV/atom: 0.723
Calculated volume, Å³/cell: 91.4
Crystal system: orthorhombic

Cell: 3.0048 5.1209 5.9404 Å, 90.00 90.00 90.00°
Element x y z (fractional)
Ca: 0.5000 0.5000 0.2500
Pb: 0.5000 0.5000 0.7500
Ta: 0.0000 0.0000 0.4866
Ta: 0.0000 0.0000 0.0134

[6]
This record from Alexandria describes crystalline Ce2Dy5N5 at its relaxed geometry. The functional is PBE.

Computed properties:
Mass density, g cm⁻³: 8.31
Total moment, μB per atom: 0.1286
Calculated volume, Å³/cell: 232.2
Crystal system: monoclinic
Formation energy without anion corrections, eV per atom: -1.13

Cell: 3.3752 6.0539 12.3806 Å, 106.40 90.00 106.19°
Last column: magnetic moment on the atom in μB.
Element x y z (fractional)
Ce: 0.9459 0.8917 0.2049  0.50
N: 0.3204 0.6408 0.1153  -0.02
N: 0.6796 0.3592 0.8847  -0.02
Dy: 0.5000 0.0000 0.5000  0.07
N: 0.1229 0.2458 0.4411  0.00
N: 0.0000 0.0000 0.0000  -0.01
Dy: 0.2774 0.5548 0.6210  0.05
Ce: 0.0541 0.1083 0.7951  0.50
Dy: 0.7226 0.4452 0.3790  0.05
Dy: 0.3505 0.7010 0.9402  0.01
Dy: 0.6495 0.2990 0.0598  0.01
N: 0.8771 0.7542 0.5589  0.00

[7]
This record from Alexandria describes crystalline MgSnIr2 at its relaxed geometry. The functional is PBE.

Computed properties:
Mass density, g cm⁻³: 11.73
Total moment, μB per atom: 0.0000
Formation energy from the elements, eV/atom: 0.313
Calculated volume, Å³/cell: 149.3
Crystal system: tetragonal

Cell: 7.2039 7.2039 5.8500 Å, 52.00 52.00 90.00°
Element x y z (fractional)
Ir: 0.3750 0.3629 0.7500
Ir: 0.8750 0.8871 0.7500
Ir: 0.1129 0.6250 0.2500
Mg: 0.2500 0.7500 0.5000
Sn: 0.0000 0.0000 0.0000
Sn: 0.7500 0.2500 0.5000
Ir: 0.6371 0.1250 0.2500
Mg: 0.5000 0.5000 0.0000

[8]
This record from Alexandria describes crystalline Cu8Pt2Au3 at its relaxed geometry. The functional is PBE.

Computed properties:
Mass density, g cm⁻³: 12.93
Total moment, μB per atom: 0.0000
Formation energy from the elements, eV/atom: 0.053
Calculated volume, Å³/cell: 191.3
Crystal system: trigonal

Cell: 4.7998 4.7998 9.9788 Å, 76.08 76.08 60.00°
Element x y z (fractional)
Cu: 0.7333 0.7333 0.3034
Cu: 0.2667 0.7699 0.6966
Cu: 0.7333 0.2301 0.3034
Cu: 0.2301 0.7333 0.3034
Cu: 0.7272 0.7272 0.8183
Au: 0.1824 0.1824 0.4528
Cu: 0.2667 0.2667 0.6966
Cu: 0.7699 0.2667 0.6966
Au: 0.0000 0.0000 0.0000
Au: 0.8176 0.8176 0.5472
Cu: 0.2728 0.2728 0.1817
Pt: 0.6404 0.6404 0.0789
Pt: 0.3596 0.3596 0.9211

Q: Number 4 is which compound?
A: FeTeRu